1.
First-principles (PBE) data for a relaxed Pm2Si5Pt3 crystal, as listed in OQMD via LeMat-Bulk.

Uncorrected energy   -64.7 eV/f.u.
Symmetry   Ibam

Unit cell a=8.241 b=8.241 c=8.241 alpha=105.27 beta=90.59 gamma=136.59
Sites, in units of the cell vectors:
Pm (0.371, 0.768, 0.139)
Pm (0.129, 0.268, 0.397)
Pm (0.871, 0.732, 0.603)
Pm (0.629, 0.232, 0.861)
Pt (0.250, 0.250, 0.000)
Pt (0.750, 0.750, 0.000)
Pt (0.864, 0.389, 0.253)
Pt (0.364, 0.111, 0.475)
Pt (0.636, 0.889, 0.525)
Pt (0.136, 0.611, 0.747)
Si (0.887, 0.150, 0.036)
Si (0.479, 0.250, 0.229)
Si (0.979, 0.750, 0.229)
Si (0.613, 0.650, 0.263)
Si (0.750, 0.250, 0.500)
Si (0.250, 0.750, 0.500)
Si (0.387, 0.350, 0.737)
Si (0.021, 0.250, 0.771)
Si (0.521, 0.750, 0.771)
Si (0.113, 0.850, 0.964)


2.
First-principles (PBE) data for a relaxed AlFeCl6 crystal, as listed in OQMD via LeMat-Bulk.

Uncorrected energy   -31.9 eV/f.u.
Symmetry   Cm

Unit cell a=6.903 b=6.903 c=7.031 alpha=119.77 beta=119.77 gamma=60.29
Last column: magnetic moment on the atom in μB.
Sites, in units of the cell vectors:
Al (0.654, 0.654, 0.224)  0.00
Cl (0.742, 0.268, 0.008)  0.12
Cl (0.268, 0.742, 0.008)  0.11
Cl (0.820, 0.820, 0.198)  0.01
Cl (0.306, 0.306, 0.436)  0.27
Cl (0.691, 0.691, 0.555)  0.01
Cl (0.175, 0.175, 0.798)  0.30
Fe (0.344, 0.344, 0.772)  3.74